Material: BeAl2F
Method: DFT, SCAN
State: PBEsol geometry

Values from the calculation:
**Spin magnetization**: 0.40 μB/f.u.
**DOS(E_F)**: 0.631 states/eV per atom
**Density**: 2.6 g/cm³
**Calculated volume**: 13.0 A^3/atom
**Calculated total energy**: -24.25 eV for the cell shown

Cell lengths 4.1945, 4.1945, 4.1945 Å; angles 60.00, 60.00, 60.00 degrees
Last column: nearest neighbours and their distance in Å.
Element x y z (fractional)
1 F 0.5000 0.5000 0.5000  8 Al 2.57
2 Be 0.0000 0.0000 0.0000  8 Al 2.57
3 Al 0.2500 0.2500 0.2500  4 F 2.57, 4 Be 2.57
4 Al 0.7500 0.7500 0.7500  4 F 2.57, 4 Be 2.57



Material: BaBrCl2
Method: DFT, SCAN
State: PBEsol geometry

Values from the calculation:
**Spin magnetization**: 0.00 μB/f.u.
**DOS(E_F)**: 0.184 states/eV per atom
**Density**: 3.6 g/cm³
**Calculated volume**: 32.9 A^3/atom
**E above lowest polymorph**: 0 meV/atom

Cell lengths 5.0672, 5.4269, 5.4903 Å; angles 90.00, 90.00, 119.35 degrees
Last column: nearest neighbours and their distance in Å.
Element x y z (fractional)
1 Ba 0.7854 0.4956 0.0000  5 Cl 3.03-3.12, 2 Br 3.34
2 Br 0.5460 0.6787 0.5000  2 Cl 2.69-2.75
3 Cl 0.5738 0.1858 0.5000  2 Br 2.69-2.75
4 Cl 0.0948 0.1399 0.0000  3 Ba 3.03-3.06



Material: HgSbAu2
Method: DFT, SCAN
State: PBEsol geometry

Values from the calculation:
**Spin magnetization**: 0.00 μB/f.u.
**DOS(E_F)**: 0.434 states/eV per atom
**Density**: 14.8 g/cm³
**Calculated volume**: 20.1 A^3/atom
**E above lowest polymorph**: 225 meV/atom

Cell lengths 4.3792, 4.3792, 5.2075 Å; angles 114.86, 114.86, 90.00 degrees
Last column: nearest neighbours and their distance in Å.
Element x y z (fractional)
1 Au 0.7500 0.2500 0.5000  4 Hg 3.03, 4 Sb 3.03, 4 Au 3.10
2 Au 0.2500 0.7500 0.5000  4 Hg 3.03, 4 Sb 3.03, 4 Au 3.10
3 Hg 0.5000 0.5000 0.0000  8 Au 3.03, 4 Sb 3.10
4 Sb 0.0000 0.0000 0.0000  8 Au 3.03, 4 Hg 3.10



Material: SiSb8
Method: DFT, SCAN
State: PBEsol geometry

Values from the calculation:
**Spin magnetization**: 0.00 μB/f.u.
**DOS(E_F)**: 0.468 states/eV per atom
**Density**: 7.3 g/cm³
**Calculated volume**: 25.5 A^3/atom
**Calculated total energy**: -305.22 eV for the cell shown

Cell lengths 3.6900, 8.0995, 8.0995 Å; angles 87.03, 76.83, 76.83 degrees
Last column: nearest neighbours and their distance in Å.
Element x y z (fractional)
1 Sb 0.0000 0.3386 0.6614  8 Sb 3.14-3.27
2 Sb 0.3559 0.2882 0.0000  2 Si 2.93, 6 Sb 3.21-3.27
3 Sb 0.6441 0.0000 0.7118  2 Si 2.93, 6 Sb 3.21-3.27
4 Sb 0.6441 0.7118 0.0000  2 Si 2.93, 6 Sb 3.21-3.27
5 Sb 0.6614 0.3386 0.3386  8 Sb 3.14-3.27
6 Sb 0.3559 0.0000 0.2882  2 Si 2.93, 6 Sb 3.21-3.27
7 Sb 0.3386 0.6614 0.6614  8 Sb 3.14-3.27
8 Sb 0.0000 0.6614 0.3386  8 Sb 3.14-3.27
9 Si 0.0000 0.0000 0.0000  8 Sb 2.93



Material: Li2IrRh
Method: DFT, SCAN
State: PBEsol geometry

Values from the calculation:
**Spin magnetization**: 0.23 μB/f.u.
**DOS(E_F)**: 0.705 states/eV per atom
**Density**: 9.8 g/cm³
**Calculated volume**: 13.1 A^3/atom
**Energy of formation from the pure elements**: -0.24 eV per atom
**E above lowest polymorph**: 33 meV/atom

Cell lengths 2.6683, 4.3845, 4.4811 Å; angles 90.00, 90.00, 90.00 degrees
Last column: nearest neighbours and their distance in Å.
Element x y z (fractional)
1 Ir 0.0000 0.5000 0.5000  4 Li 2.57, 4 Rh 2.61, 2 Ir 2.67
2 Rh 0.5000 0.5000 0.0000  4 Li 2.57, 4 Ir 2.61, 2 Rh 2.67
3 Li 0.5000 0.0000 0.5000  4 Ir 2.57, 6 Li 2.61-2.67
4 Li 0.0000 0.0000 0.0000  4 Rh 2.57, 6 Li 2.61-2.67



Material: TlIr2CSe
Method: DFT, SCAN
State: PBEsol geometry

Values from the calculation:
**Spin magnetization**: 0.98 μB/f.u.
**DOS(E_F)**: 0.833 states/eV per atom
**Density**: 11.5 g/cm³
**Calculated volume**: 19.7 A^3/atom
**Calculated total energy**: -230.26 eV for the cell shown

Cell lengths 3.8800, 5.0372, 5.0372 Å; angles 90.00, 90.00, 90.00 degrees
Last column: nearest neighbours and their distance in Å.
Element x y z (fractional)
1 C 0.5000 0.0000 0.0000  2 Tl 1.94
2 Tl 0.0000 0.0000 0.0000  2 C 1.94
3 Ir 0.0000 0.0000 0.5000  2 Tl 2.52
4 Ir 0.0000 0.5000 0.0000  2 Tl 2.52
5 Se 0.5000 0.5000 0.5000  8 Ir 3.18



Material: LaCe3
Method: DFT, SCAN
State: PBEsol geometry

Values from the calculation:
**Spin magnetization**: 0.00 μB/f.u.
**DOS(E_F)**: 1.457 states/eV per atom
**Density**: 9.1 g/cm³
**Calculated volume**: 25.5 A^3/atom
**Energy of formation from the pure elements**: 0.09 eV per atom

Cell lengths 4.6735, 4.6735, 4.6735 Å; angles 90.00, 90.00, 90.00 degrees
Last column: nearest neighbours and their distance in Å.
Element x y z (fractional)
1 Ce 0.5000 0.5000 0.0000  8 Ce 3.30, 4 La 3.30
2 Ce 0.0000 0.5000 0.5000  8 Ce 3.30, 4 La 3.30
3 Ce 0.5000 0.0000 0.5000  8 Ce 3.30, 4 La 3.30
4 La 0.0000 0.0000 0.0000  12 Ce 3.30



Material: Sc2TaCr
Method: DFT, SCAN
State: PBEsol geometry

Values from the calculation:
**Spin magnetization**: 1.28 μB/f.u.
**DOS(E_F)**: 0.946 states/eV per atom
**Density**: 7.4 g/cm³
**Calculated volume**: 18.2 A^3/atom
**Energy of formation from the pure elements**: 0.19 eV per atom
**E above lowest polymorph**: 0 meV/atom

Cell lengths 3.2532, 4.8551, 5.4631 Å; angles 116.38, 107.32, 90.00 degrees
Last column: nearest neighbours and their distance in Å.
Element x y z (fractional)
1 Ta 0.5417 0.5417 0.0834  2 Cr 2.38
2 Cr 0.2301 0.7301 0.4602  2 Ta 2.38
3 Sc 0.9703 0.9703 0.9407  2 Cr 2.75, 4 Ta 3.00
4 Sc 0.7579 0.2579 0.5157  4 Cr 2.93, 4 Ta 3.08-3.14, 6 Sc 3.11-3.25



- Look up the spin magnetization of the first one.
  0.40 μB/f.u.